This record from Alexandria via LeMat-Bulk describes a relaxed Gd2InIr crystal. The functional is GGA-PBE.

a = 8.4972 Å, b = 8.4972 Å, c = 8.4972 Å
α = 26.95°, β = 26.95°, γ = 26.95°
With the nearest neighbours (Å) after each atom.
Sites, in units of the cell vectors:
Gd 0.2324 0.2324 0.2324  3 Ir 2.80
Gd 0.7676 0.7676 0.7676  3 Ir 2.80
In 0.0000 0.0000 0.0000  6 Gd 3.37
Ir 0.5000 0.5000 0.5000  6 Gd 2.80

N(E_F) ... 2.2 states/eV/cell
Space-group type ... R-3m, No. 166
Total magnetic moment ... 14.071 μB/cell
Calculated formation energy ... -520 meV per atom